Density functional theory data (PBE) for crystalline NdPaCo4 at its relaxed geometry.

a b c (Å): 5.0362 5.0362 5.0362
angles (deg): 60.00 60.00 60.00
Last column: nearest neighbours and their distance in Å.
Positions (direct):
1 Nd 0.0000 0.0000 0.0000  12 Co 2.95, 4 Pa 3.08
2 Pa 0.7500 0.7500 0.7500  12 Co 2.95, 4 Nd 3.08
3 Co 0.3756 0.3756 0.3756  6 Co 2.51-2.53
4 Co 0.3756 0.3756 0.8732  6 Co 2.51-2.53
5 Co 0.3756 0.8732 0.3756  6 Co 2.51-2.53
6 Co 0.8732 0.3756 0.3756  6 Co 2.51-2.53

Spin magnetization (μB per formula unit): 0.001
Energy relative to the elements (kJ per mole of atoms): -13.6